(1)
First-principles (GGA-PBE) data for crystalline CaGa3Pt3 at its relaxed geometry, as listed in Alexandria via LeMat-Bulk.

Values from the calculation:
Formation energy (kcal/mol of atoms): -11.02

Unit cell a=6.892 b=6.892 c=6.892 alpha=90.00 beta=90.00 gamma=90.00
Space group Pm-3n (No. 223)
Unique sites:
Ca 0.000 0.000 0.000 (multiplicity 2)
Ga 0.000 0.250 0.500 (multiplicity 6)
Pt 0.000 0.500 0.250 (multiplicity 6)

(2)
First-principles (GGA-PBE) data for crystalline In2AgW at its relaxed geometry, as listed in Alexandria via LeMat-Bulk.

Values from the calculation:
Formation energy (kcal/mol of atoms): 11.59

Unit cell a=2.929 b=2.929 c=9.432 alpha=90.00 beta=90.00 gamma=90.00
Space group P4mm (No. 99)
Unique sites:
In 0.000 0.000 0.000 (multiplicity 1)
In 0.500 0.500 0.296 (multiplicity 1)
Ag 0.500 0.500 0.744 (multiplicity 1)
W 0.000 0.000 0.528 (multiplicity 1)

(3)
First-principles (GGA-PBE) data for crystalline Pm2HfCu at its relaxed geometry, as listed in Alexandria via LeMat-Bulk.

Values from the calculation:
Formation energy (kcal/mol of atoms): 10.22

Unit cell a=3.2563 b=3.2563 c=33.3954 alpha=90.00 beta=90.00 gamma=120.00
Space group R-3m (No. 166, hexagonal axes)
Unique sites:
Pm 0.0000 0.0000 0.0968 (multiplicity 6)
Hf 0.0000 0.0000 0.0000 (multiplicity 3)
Cu 0.0000 0.0000 0.5000 (multiplicity 3)

(4)
First-principles (GGA-PBE) data for crystalline Sr2CdHg4 at its relaxed geometry, as listed in Alexandria via LeMat-Bulk.

Values from the calculation:
Formation energy (kcal/mol of atoms): -8.11

Unit cell a=5.5648 b=5.5648 c=22.9590 alpha=90.00 beta=90.00 gamma=120.00
Space group R-3m (No. 166, hexagonal axes)
Unique sites:
Sr 0.0000 0.0000 0.2289 (multiplicity 6)
Cd 0.0000 0.0000 0.5000 (multiplicity 3)
Hg 0.0000 0.0000 0.0692 (multiplicity 6)
Hg 0.0000 0.0000 0.3719 (multiplicity 6)

(5)
First-principles (GGA-PBE) data for crystalline Th6GeSb3Se2 at its relaxed geometry, as listed in Alexandria via LeMat-Bulk.

Values from the calculation:
ΔE_f (raw) (eV per atom): -1.115

Unit cell a=19.107 b=4.386 c=8.735 alpha=90.00 beta=103.73 gamma=90.00
Space group C2/m (No. 12)
Unique sites:
Th 0.004 0.000 0.235 (multiplicity 4)
Th 0.160 0.500 0.093 (multiplicity 4)
Th 0.172 0.500 0.569 (multiplicity 4)
Ge 0.000 0.500 0.000 (multiplicity 2)
Sb 0.000 0.500 0.500 (multiplicity 2)
Sb 0.167 0.000 0.832 (multiplicity 4)
Se 0.166 0.000 0.331 (multiplicity 4)

(6)
First-principles (GGA-PBE) data for crystalline KHfCd2 at its relaxed geometry, as listed in Alexandria via LeMat-Bulk.

Values from the calculation:
Formation energy (kcal/mol of atoms): 10.92

Unit cell a=7.482 b=7.482 c=7.482 alpha=90.00 beta=90.00 gamma=90.00
Space group Fm-3m (No. 225)
Unique sites:
K 0.000 0.000 0.000 (multiplicity 4)
Hf 0.000 0.000 0.500 (multiplicity 4)
Cd 0.250 0.250 0.250 (multiplicity 8)

(7)
First-principles (GGA-PBE) data for crystalline CaSn2Ge at its relaxed geometry, as listed in Alexandria via LeMat-Bulk.

Values from the calculation:
Formation energy (kcal/mol of atoms): -5.90

Unit cell a=8.295 b=8.295 c=6.370 alpha=90.00 beta=90.00 gamma=90.00
Space group I-42d (No. 122)
Unique sites:
Ca 0.000 0.000 0.000 (multiplicity 4)
Sn 0.203 0.250 0.625 (multiplicity 8)
Ge 0.000 0.000 0.500 (multiplicity 4)

(8)
First-principles (GGA-PBE) data for crystalline TaAg2Se at its relaxed geometry, as listed in Alexandria via LeMat-Bulk.

Values from the calculation:
ΔE_f (raw) (eV per atom): 0.368

Unit cell a=3.605 b=3.898 c=5.348 alpha=90.00 beta=90.00 gamma=90.00
Space group Pmmm (No. 47)
Unique sites:
Ta 0.000 0.000 0.000 (multiplicity 1)
Ag 0.500 0.500 0.243 (multiplicity 2)
Se 0.000 0.000 0.500 (multiplicity 1)

(9)
First-principles (GGA-PBE) data for crystalline LaTe2SeI at its relaxed geometry, as listed in Alexandria via LeMat-Bulk.

Values from the calculation:
ΔE_f (raw) (eV per atom): -0.062

Unit cell a=6.270 b=6.270 c=6.229 alpha=90.00 beta=90.00 gamma=90.00
Space group P4/mmm (No. 123)
Unique sites:
La 0.000 0.000 0.000 (multiplicity 1)
Te 0.000 0.500 0.000 (multiplicity 2)
Se 0.500 0.500 0.500 (multiplicity 1)
I 0.000 0.000 0.500 (multiplicity 1)

(10)
First-principles (GGA-PBE) data for crystalline CuAs2Pt at its relaxed geometry, as listed in Alexandria via LeMat-Bulk.

Values from the calculation:
Formation energy (kcal/mol of atoms): 1.36

Unit cell a=5.642 b=7.108 c=3.230 alpha=90.00 beta=90.00 gamma=90.00
Space group Cmmm (No. 65)
Unique sites:
Cu 0.000 0.000 0.000 (multiplicity 2)
As 0.250 0.250 0.500 (multiplicity 4)
Pt 0.000 0.500 0.000 (multiplicity 2)

(11)
First-principles (GGA-PBE) data for crystalline AgGeTe2 at its relaxed geometry, as listed in Alexandria via LeMat-Bulk.

Values from the calculation:
ΔE_f (raw) (eV per atom): 0.123

Unit cell a=4.2000 b=4.2000 c=25.3385 alpha=90.00 beta=90.00 gamma=120.00
Space group R-3m (No. 166, hexagonal axes)
Unique sites:
Ag 0.0000 0.0000 0.0000 (multiplicity 3)
Ge 0.0000 0.0000 0.5000 (multiplicity 3)
Te 0.0000 0.0000 0.1046 (multiplicity 6)

(12)
First-principles (GGA-PBE) data for crystalline LiGa5Rh6 at its relaxed geometry, as listed in Alexandria via LeMat-Bulk.

Values from the calculation:
Formation energy (kcal/mol of atoms): -16.45

Unit cell a=13.482 b=6.033 c=4.260 alpha=90.00 beta=108.26 gamma=90.00
Space group C2/m (No. 12)
Unique sites:
Li 0.000 0.000 0.000 (multiplicity 2)
Ga 0.000 0.500 0.000 (multiplicity 2)
Ga 0.159 0.000 0.659 (multiplicity 4)
Ga 0.167 0.500 0.668 (multiplicity 4)
Rh 0.000 0.257 0.500 (multiplicity 4)
Rh 0.169 0.253 0.169 (multiplicity 8)

no.,final energy (eV for the cell shown)
1,-65.10
2,-19.27
3,-65.33
4,-23.85
5,-163.70
6,-43.95
7,-62.59
8,-19.57
9,-16.56
10,-38.40
11,-39.78
12,-139.43